DFT (PBE) results for crystalline Pm4Cd2Ag at its relaxed geometry.

Cell lengths 5.3181, 5.3181, 9.1466 Å; angles 73.10, 73.10, 60.00 degrees
Each line ends with the local moment (μB).
Positions (direct):
Cd 0.7493 0.7493 0.7521  0.01
Cd 0.2507 0.2507 0.2479  0.01
Ag 0.0000 0.0000 0.0000  0.01
Pm 0.8731 0.8731 0.3807  0.11
Pm 0.1269 0.1269 0.6193  0.11
Pm 0.6223 0.6223 0.1331  0.07
Pm 0.3777 0.3777 0.8669  0.07

Summary:
DOS(E_F): 1.49 states/eV per atom
Total DFT energy (no corrections): -0.1288 hartree per atom